1.
A geometry-optimized Tl2IrCl5 structure, computed with PBE-GGA.

E above lowest polymorph, eV/f.u.: 0.00

```
data_Tl2IrCl5
_chemical_formula_sum 'Tl4 Ir2 Cl10'
_cell_length_a 7.551
_cell_length_b 8.762
_cell_length_c 9.098
_cell_angle_alpha 59.73
_cell_angle_beta 65.48
_cell_angle_gamma 64.47
_space_group_name_H-M_alt 'P 1'
_space_group_IT_number 1
loop_
_space_group_symop_operation_xyz
'x,y,z'
loop_
_atom_site_label
_atom_site_type_symbol
_atom_site_fract_x
_atom_site_fract_y
_atom_site_fract_z
Tl1 Tl 0.629 0.435 0.331
Tl2 Tl 0.272 0.132 0.298
Tl3 Tl 0.605 0.935 0.831
Tl4 Tl 0.298 0.632 0.798
Ir1 Ir 0.951 0.784 0.314
Ir2 Ir 0.951 0.284 0.814
Cl1 Cl 0.724 0.293 0.691
Cl2 Cl 0.013 0.581 0.188
Cl3 Cl 0.179 0.274 0.937
Cl4 Cl 0.292 0.793 0.191
Cl5 Cl 0.219 0.081 0.688
Cl6 Cl 0.610 0.774 0.437
Cl7 Cl 0.683 0.486 0.941
Cl8 Cl 0.889 0.986 0.441
Cl9 Cl 0.831 0.034 0.064
Cl10 Cl 0.071 0.534 0.564
```



2.
A geometry-optimized YMgB structure, computed with PBE-GGA.

Fermi-level density of states, states/eV/cell: 5.53
DFT formation energy, meV/atom: -77
E above lowest polymorph, eV/f.u.: 0.60

```
data_YMgB
_chemical_formula_sum 'Y2 Mg2 B2'
_cell_length_a 6.750
_cell_length_b 3.205
_cell_length_c 5.622
_cell_angle_alpha 90.01
_cell_angle_beta 101.04
_cell_angle_gamma 76.33
_space_group_name_H-M_alt 'P 1'
_space_group_IT_number 1
loop_
_space_group_symop_operation_xyz
'x,y,z'
loop_
_atom_site_label
_atom_site_type_symbol
_atom_site_fract_x
_atom_site_fract_y
_atom_site_fract_z
Y1 Y 0.240 0.107 0.587
Y2 Y 0.747 0.353 0.686
Mg1 Mg 0.864 0.795 0.208
Mg2 Mg 0.428 0.514 0.123
B1 B 0.077 0.689 0.909
B2 B 0.101 0.176 0.007
```



3.
A geometry-optimized Zr2TaTl2 structure, computed with PBE-GGA.

Fermi-level density of states, states/eV/cell: 10.57
DFT formation energy, meV/atom: 244

```
data_Zr2TaTl2
_chemical_formula_sum 'Zr4 Ta2 Tl4'
_cell_length_a 7.605
_cell_length_b 7.605
_cell_length_c 3.886
_cell_angle_alpha 90.00
_cell_angle_beta 90.00
_cell_angle_gamma 90.00
_space_group_name_H-M_alt 'P 1'
_space_group_IT_number 1
loop_
_space_group_symop_operation_xyz
'x,y,z'
loop_
_atom_site_label
_atom_site_type_symbol
_atom_site_fract_x
_atom_site_fract_y
_atom_site_fract_z
Tl1 Tl 0.365 0.865 0.000
Tl2 Tl 0.865 0.635 0.000
Tl3 Tl 0.635 0.135 0.000
Tl4 Tl 0.135 0.365 0.000
Zr1 Zr 0.172 0.672 0.500
Zr2 Zr 0.672 0.828 0.500
Zr3 Zr 0.828 0.328 0.500
Zr4 Zr 0.328 0.172 0.500
Ta1 Ta 0.000 0.000 0.000
Ta2 Ta 0.500 0.500 0.000
```